Record 1
# K2CeI5

A geometry-optimized K2CeI5 structure (GGA-PBEsol, Alexandria).

a b c (Å): 14.1386 9.7392 9.0192
angles (deg): 90.00 90.00 90.00
Space group Pnma (No. 62)
Unique sites:
K  0.1727  0.0049  0.0625
Ce  0.0059  0.2500  0.5802
I  0.0051  0.2500  0.9364
I  0.0768  0.5474  0.6721
I  0.1857  0.2500  0.3725
I  0.2115  0.7500  0.3381

Values from the calculation:
Total magnetization ... 1.0 μB per formula unit
Crystal system ... orthorhombic
Formation energy (no corrections) ... -1.392 eV per atom


Record 2
# Mn2AsOs

A geometry-optimized Mn2AsOs structure (GGA-PBEsol, Alexandria).

a b c (Å): 3.7968 3.7968 6.9101
angles (deg): 90.00 90.00 90.00
Space group I-4m2 (No. 119)
Unique sites:
Mn  0.0000  0.0000  0.0000
Mn  0.0000  0.5000  0.2500
As  0.0000  0.5000  0.7500
Os  0.0000  0.0000  0.5000

Values from the calculation:
Total magnetization ... 3.2 μB per formula unit
Crystal system ... tetragonal
E_form ... 0.181 eV/atom


Record 3
# TiF3

A geometry-optimized TiF3 structure (GGA-PBEsol, Alexandria).

a b c (Å): 3.9026 3.9026 3.9026
angles (deg): 90.00 90.00 90.00
Space group Pm-3m (No. 221)
Unique sites:
Ti  0.0000  0.0000  0.0000
F  0.0000  0.0000  0.5000

Values from the calculation:
Total magnetization ... 1.0 μB per formula unit
Crystal system ... cubic
Formation energy (no corrections) ... -3.347 eV per atom


Record 4
# LiIn3

A geometry-optimized LiIn3 structure (GGA-PBEsol, Alexandria).

a b c (Å): 6.2619 15.5837 5.5496
angles (deg): 90.00 90.00 90.00
Space group Pmmn (No. 59, origin choice 2)
Unique sites:
Li  0.2500  0.0825  0.1566
Li  0.2500  0.7500  0.5233
In  0.0003  0.0849  0.6567
In  0.0021  0.7500  0.0167
In  0.2500  0.2500  0.4712
In  0.2500  0.5814  0.8450

Values from the calculation:
Total magnetization ... 0.0 μB per formula unit
Crystal system ... orthorhombic
E_form ... -0.161 eV/atom


Record 5
# ZnCdFe2

A geometry-optimized ZnCdFe2 structure (GGA-PBEsol, Alexandria).

a b c (Å): 2.6459 3.8478 5.3532
angles (deg): 90.00 90.00 90.00
Space group Pmmm (No. 47)
Unique sites:
Zn  0.0000  0.0000  0.0000
Cd  0.0000  0.0000  0.5000
Fe  0.5000  0.5000  0.2233

Values from the calculation:
Total magnetization ... 4.7 μB per formula unit
Crystal system ... orthorhombic
E_form ... 0.219 eV/atom


Record 6
# BaMnPt2

A geometry-optimized BaMnPt2 structure (GGA-PBEsol, Alexandria).

a b c (Å): 4.1854 5.7547 7.5094
angles (deg): 90.00 90.00 90.00
Space group Immm (No. 71)
Unique sites:
Ba  0.0000  0.0000  0.0000
Mn  0.0000  0.0000  0.5000
Pt  0.0000  0.5000  0.1899

Values from the calculation:
Total magnetization ... 4.5 μB per formula unit
Crystal system ... orthorhombic
E_form ... 0.073 eV/atom